VASP calculation (GGA-PBEsol) on a relaxed YTe2Pt crystal.

a b c (Å): 3.974 4.880 5.795
angles (deg): 92.94 110.05 90.00
Atoms (fractional coordinates):
Pt 0.208 0.668 0.416
Y 0.499 0.492 0.997
Te 0.771 0.362 0.542
Te 0.022 0.978 0.045

## Properties
- Magnetic moment: 0.00 μB per atom
- Polymorph energy (0 for the lowest one): 0 meV per atom
- Formation energy from raw total energies: -75 kJ per mole of atoms

=====

VASP calculation (GGA-PBEsol) on a relaxed CeMg5 crystal.

a b c (Å): 3.136 3.136 16.067
angles (deg): 90.00 90.00 120.00
Atoms (fractional coordinates):
Mg 0.000 0.000 0.821
Mg 0.333 0.667 0.659
Mg 0.000 0.000 0.500
Mg 0.333 0.667 0.341
Mg 0.000 0.000 0.179
Ce 0.333 0.667 0.000

## Properties
- ΔE_f: -9.8 meV/atom
- Magnetic moment: 0.00 μB per atom

=====

VASP calculation (GGA-PBEsol) on a relaxed Li2LaTc crystal.

a b c (Å): 3.398 4.852 5.289
angles (deg): 110.75 90.00 110.50
Atoms (fractional coordinates):
Li 0.985 0.969 0.943
Li 0.235 0.471 0.777
Tc 0.503 0.005 0.459
La 0.777 0.555 0.321

## Properties
- ΔE_f: 379.3 meV/atom
- Magnetic moment: 0.00 μB per atom

=====

VASP calculation (GGA-PBEsol) on a relaxed TiIn2O5 crystal.

a b c (Å): 3.503 7.272 14.964
angles (deg): 90.00 90.00 90.00
Atoms (fractional coordinates):
In 0.250 0.673 0.761
In 0.750 0.827 0.261
In 0.750 0.327 0.239
In 0.250 0.173 0.739
In 0.750 0.401 0.584
In 0.250 0.599 0.416
In 0.250 0.099 0.084
In 0.750 0.901 0.916
O 0.250 0.427 0.955
O 0.750 0.073 0.455
O 0.250 0.871 0.351
O 0.750 0.129 0.649
O 0.250 0.940 0.825
O 0.750 0.060 0.175
O 0.250 0.740 0.180
O 0.250 0.846 0.004
O 0.750 0.154 0.996
O 0.750 0.629 0.851
O 0.250 0.371 0.149
O 0.750 0.654 0.504
O 0.250 0.240 0.320
O 0.250 0.927 0.545
O 0.250 0.346 0.496
O 0.750 0.760 0.680
O 0.250 0.440 0.675
O 0.750 0.260 0.820
O 0.750 0.560 0.325
O 0.750 0.573 0.045
Ti 0.250 0.608 0.077
Ti 0.250 0.108 0.423
Ti 0.750 0.892 0.577
Ti 0.750 0.392 0.923

## Properties
- Magnetic moment: 0.00 μB per atom
- Formation energy from raw total energies: -208 kJ per mole of atoms

=====

VASP calculation (GGA-PBEsol) on a relaxed CaScTa2F crystal.

a b c (Å): 3.918 5.291 5.291
angles (deg): 90.00 90.00 90.00
Atoms (fractional coordinates):
Ta 0.000 0.000 0.500
Ta 0.000 0.500 0.000
F 0.500 0.000 0.000
Ca 0.000 0.000 0.000
Sc 0.500 0.500 0.500

## Properties
- Magnetic moment: 0.00 μB per atom
- Formation energy from raw total energies: 105 kJ per mole of atoms

=====

VASP calculation (GGA-PBEsol) on a relaxed Li2In2GeSe6 crystal.

a b c (Å): 7.354 7.354 12.646
angles (deg): 72.62 72.62 60.73
Atoms (fractional coordinates):
Ge 0.994 0.457 0.251
Ge 0.457 0.994 0.751
Se 0.574 0.040 0.555
Se 0.271 0.328 0.803
Se 0.334 0.876 0.121
Se 0.785 0.751 0.341
Se 0.230 0.735 0.497
Se 0.876 0.334 0.621
Se 0.781 0.279 0.300
Se 0.751 0.785 0.841
Se 0.040 0.574 0.055
Se 0.735 0.230 0.997
Se 0.279 0.781 0.800
Se 0.328 0.271 0.303
Li 0.986 0.593 0.666
Li 0.605 0.401 0.497
Li 0.401 0.605 0.997
Li 0.593 0.986 0.166
In 0.230 0.083 0.509
In 0.083 0.230 0.009
In 0.072 0.883 0.313
In 0.883 0.072 0.813

## Properties
- Magnetic moment: 0.00 μB per atom
- Formation energy from raw total energies: -65 kJ per mole of atoms

=====

VASP calculation (GGA-PBEsol) on a relaxed MoAsPb2 crystal.

a b c (Å): 3.184 3.184 10.089
angles (deg): 80.92 80.92 60.00
Atoms (fractional coordinates):
Pb 0.256 0.256 0.231
Pb 0.744 0.744 0.769
As 0.500 0.500 0.500
Mo 0.000 0.000 0.000

## Properties
- ΔE_f: 658.0 meV/atom
- Magnetic moment: 0.00 μB per atom

=====

VASP calculation (GGA-PBEsol) on a relaxed TaNiIr2 crystal.

a b c (Å): 3.715 3.867 3.867
angles (deg): 90.00 90.00 90.00
Atoms (fractional coordinates):
Ni 0.500 0.500 0.500
Ta 0.500 0.000 0.000
Ir 0.000 0.000 0.500
Ir 0.000 0.500 0.000

## Properties
- ΔE_f: -547.3 meV/atom
- Magnetic moment: 0.00 μB per atom